No. 1
This record from the Alexandria database describes MnAl after structural relaxation. The functional is PBE.

Output
DOS(E_F)   0.813 states/eV/f.u.
Formation enthalpy at 0 K   -263 meV per atom

Cell: 2.7557 2.7557 3.4673 Å, 90.00 90.00 90.00°
Last column: nearest neighbours and their distance in Å.
Sites, in units of the cell vectors:
Mn 0.0000 0.0000 0.0000  8 Al 2.61, 4 Mn 2.76
Al 0.5000 0.5000 0.5000  8 Mn 2.61, 4 Al 2.76

---

No. 2
This record from the Alexandria database describes Ca2GaPtAu6 after structural relaxation. The functional is PBE.

Output
DOS(E_F)   3.651 states/eV/f.u.
Formation enthalpy at 0 K   -457 meV per atom

Cell: 11.8425 11.8425 11.8425 Å, 33.52 33.52 33.52°
Last column: nearest neighbours and their distance in Å.
Sites, in units of the cell vectors:
Ca 0.1124 0.1124 0.1124  12 Au 3.31-3.51
Ca 0.2831 0.2831 0.2831  12 Au 3.21-3.48
Ca 0.7169 0.7169 0.7169  12 Au 3.21-3.48
Ca 0.8876 0.8876 0.8876  12 Au 3.31-3.51
Ga 0.0000 0.0000 0.0000  6 Au 2.50
Ga 0.5000 0.5000 0.5000  2 Pt 2.44, 6 Au 2.61
Pt 0.4271 0.4271 0.4271  1 Ga 2.44, 6 Au 2.67-2.73
Pt 0.5729 0.5729 0.5729  1 Ga 2.44, 6 Au 2.67-2.73
Au 0.0660 0.6678 0.6678  1 Ga 2.61, 2 Au 2.72, 1 Pt 2.73
Au 0.2226 0.2226 0.6512  1 Ga 2.50, 1 Pt 2.67
Au 0.2226 0.6512 0.2226  1 Ga 2.50, 1 Pt 2.67
Au 0.3322 0.3322 0.9340  1 Ga 2.61, 2 Au 2.72, 1 Pt 2.73
Au 0.3322 0.9340 0.3322  1 Ga 2.61, 2 Au 2.72, 1 Pt 2.73
Au 0.3488 0.7774 0.7774  1 Ga 2.50, 1 Pt 2.67
Au 0.6512 0.2226 0.2226  1 Ga 2.50, 1 Pt 2.67
Au 0.6678 0.0660 0.6678  1 Ga 2.61, 2 Au 2.72, 1 Pt 2.73
Au 0.6678 0.6678 0.0660  1 Ga 2.61, 2 Au 2.72, 1 Pt 2.73
Au 0.7774 0.3488 0.7774  1 Ga 2.50, 1 Pt 2.67
Au 0.7774 0.7774 0.3488  1 Ga 2.50, 1 Pt 2.67
Au 0.9340 0.3322 0.3322  1 Ga 2.61, 2 Au 2.72, 1 Pt 2.73